Record 1
A geometry-optimized LiTl6Sn12 structure. Source: Alexandria, functional GGA-PBE.

Output
Energy relative to the elements   49 meV/atom
E   -3.327 eV per atom
Magnetic moment   0.00 μB per cell
Calculated density   7.85 g/cm3

Lattice parameters (Å, degrees): 8.3189 8.3189 8.3189 96.92 96.92 96.92
Fractional coordinates of all 19 atoms:
Sn: 0.8095 0.4334 0.4779
Sn: 0.1905 0.5666 0.5221
Sn: 0.1297 0.7845 0.2389
Sn: 0.5666 0.5221 0.1905
Sn: 0.5221 0.1905 0.5666
Sn: 0.7845 0.2389 0.1297
Sn: 0.7611 0.8703 0.2155
Sn: 0.4334 0.4779 0.8095
Sn: 0.8703 0.2155 0.7611
Sn: 0.2155 0.7611 0.8703
Sn: 0.4779 0.8095 0.4334
Sn: 0.2389 0.1297 0.7845
Tl: 0.4090 0.0959 0.1662
Tl: 0.5910 0.9041 0.8338
Tl: 0.0959 0.1662 0.4090
Tl: 0.8338 0.5910 0.9041
Tl: 0.1662 0.4090 0.0959
Tl: 0.9041 0.8338 0.5910
Li: 0.0000 0.0000 0.0000

=====

Record 2
A geometry-optimized LiTlSn structure. Source: Alexandria, functional GGA-PBE.

Output
Energy relative to the elements   -72 meV/atom
E   -2.833 eV per atom
Magnetic moment   0.00 μB per cell
Calculated density   6.78 g/cm3

Lattice parameters (Å, degrees): 4.8347 4.8347 7.9907 90.00 90.00 120.00
Fractional coordinates of all 6 atoms:
Tl: 0.3333 0.6667 0.1904
Tl: 0.3333 0.6667 0.8096
Sn: 0.0000 0.0000 0.3153
Sn: 0.0000 0.0000 0.6847
Li: 0.6667 0.3333 0.0000
Li: 0.6667 0.3333 0.5000

=====

Record 3
A geometry-optimized Li12Tl2Sn5 structure. Source: Alexandria, functional GGA-PBE.

Output
Energy relative to the elements   -245 meV/atom
E   -2.757 eV per atom
Magnetic moment   0.00 μB per cell
Calculated density   4.65 g/cm3

Lattice parameters (Å, degrees): 7.4920 7.8817 7.4715 93.14 90.00 118.38
Fractional coordinates of all 19 atoms:
Li: 0.8125 0.2214 0.6126
Li: 0.0190 0.6294 0.7813
Li: 0.1875 0.7786 0.3874
Li: 0.5547 0.1093 0.2763
Li: 0.5910 0.7786 0.3874
Li: 0.4453 0.8907 0.7237
Li: 0.6104 0.6294 0.7813
Li: 0.1534 0.3068 0.8691
Li: 0.3896 0.3706 0.2187
Li: 0.9810 0.3706 0.2187
Li: 0.4090 0.2214 0.6126
Li: 0.8466 0.6932 0.1309
Sn: 0.2438 0.4876 0.5416
Sn: 0.6613 0.3225 0.9424
Sn: 0.0000 0.0000 0.5000
Sn: 0.3387 0.6775 0.0576
Sn: 0.7562 0.5124 0.4584
Tl: 0.7798 0.0000 0.0000
Tl: 0.2202 0.0000 0.0000

=====

Record 4
A geometry-optimized LiTlSn structure. Source: Alexandria, functional GGA-PBE.

Output
Energy relative to the elements   -146 meV/atom
E   -2.907 eV per atom
Magnetic moment   0.00 μB per cell
Calculated density   7.32 g/cm3

Lattice parameters (Å, degrees): 5.3782 5.8543 5.3498 62.81 89.99 89.99
Fractional coordinates of all 6 atoms:
Tl: 0.2499 0.1964 0.9040
Tl: 0.7501 0.8036 0.0960
Li: 0.2503 0.4941 0.2558
Li: 0.7497 0.5059 0.7442
Sn: 0.7500 0.1603 0.4183
Sn: 0.2500 0.8397 0.5817

=====

Record 5
A geometry-optimized LiTlSn structure. Source: Alexandria, functional GGA-PBE.

Output
Energy relative to the elements   -179 meV/atom
E   -2.940 eV per atom
Magnetic moment   0.00 μB per cell
Calculated density   7.41 g/cm3

Lattice parameters (Å, degrees): 7.1105 4.4613 9.3248 90.00 90.00 90.00
Fractional coordinates of all 12 atoms:
Tl: 0.5402 0.7500 0.1782
Tl: 0.9598 0.2500 0.6782
Tl: 0.4598 0.2500 0.8218
Tl: 0.0402 0.7500 0.3218
Sn: 0.3627 0.2500 0.4504
Sn: 0.8627 0.2500 0.0496
Sn: 0.6373 0.7500 0.5496
Sn: 0.1373 0.7500 0.9504
Li: 0.2526 0.2500 0.1474
Li: 0.7526 0.2500 0.3526
Li: 0.7474 0.7500 0.8526
Li: 0.2474 0.7500 0.6474

=====

Record 6
A geometry-optimized Li6TlSn3 structure. Source: Alexandria, functional GGA-PBE.

Output
Polymorph energy (0 for the lowest one)   86.6 meV per atom
Energy relative to the elements   -239 meV/atom
E   -2.825 eV per atom
Magnetic moment   0.00 μB per cell
Calculated density   4.90 g/cm3

Lattice parameters (Å, degrees): 7.9772 7.1564 7.1564 90.01 90.00 90.00
Fractional coordinates of all 20 atoms:
Li: 0.2809 0.6293 0.8939
Li: 0.7809 0.3707 0.1061
Li: 0.6127 0.6306 0.8376
Li: 0.6945 0.2838 0.7162
Li: 0.7809 0.8939 0.6293
Li: 0.1945 0.7162 0.2838
Li: 0.6848 0.9948 0.0052
Li: 0.6127 0.1624 0.3694
Li: 0.1848 0.0052 0.9948
Li: 0.2809 0.1061 0.3707
Li: 0.1127 0.8376 0.6306
Li: 0.1127 0.3694 0.1624
Tl: 0.5536 0.7291 0.2709
Tl: 0.0536 0.2709 0.7291
Sn: 0.9402 0.7016 0.9811
Sn: 0.3848 0.4400 0.5600
Sn: 0.8848 0.5600 0.4400
Sn: 0.4402 0.9811 0.7016
Sn: 0.4402 0.2984 0.0189
Sn: 0.9402 0.0189 0.2984

=====

Record 7
A geometry-optimized Li2TlSn2 structure. Source: Alexandria, functional GGA-PBE.

Output
Polymorph energy (0 for the lowest one)   0.0 meV per atom
Energy relative to the elements   -203 meV/atom
E   -3.043 eV per atom
Magnetic moment   0.00 μB per cell
Calculated density   6.38 g/cm3

Lattice parameters (Å, degrees): 8.6054 8.6054 3.2008 90.00 90.00 90.00
Fractional coordinates of all 10 atoms:
Li: 0.6792 0.8208 0.5000
Li: 0.3208 0.1792 0.5000
Li: 0.1792 0.6792 0.5000
Li: 0.8208 0.3208 0.5000
Sn: 0.6190 0.1190 0.0000
Sn: 0.8810 0.6190 0.0000
Sn: 0.1190 0.3810 0.0000
Sn: 0.3810 0.8810 0.0000
Tl: 0.0000 0.0000 0.0000
Tl: 0.5000 0.5000 0.0000

=====

Record 8
A geometry-optimized Li7Tl3Sn structure. Source: Alexandria, functional GGA-PBE.

Output
Energy relative to the elements   -203 meV/atom
E   -2.431 eV per atom
Magnetic moment   0.00 μB per cell
Calculated density   5.44 g/cm3

Lattice parameters (Å, degrees): 3.1250 11.5336 13.3438 90.00 90.00 97.79
Fractional coordinates of all 22 atoms:
Li: 0.7234 0.4467 0.5887
Li: 0.5896 0.1792 0.9036
Li: 0.7234 0.4467 0.9113
Li: 0.6911 0.3821 0.2500
Li: 0.4104 0.8208 0.0964
Li: 0.4521 0.9042 0.6332
Li: 0.5479 0.0958 0.1332
Li: 0.3089 0.6179 0.7500
Li: 0.2766 0.5533 0.4113
Li: 0.5479 0.0958 0.3668
Li: 0.2766 0.5533 0.0887
Li: 0.4104 0.8208 0.4036
Li: 0.5896 0.1792 0.5964
Li: 0.4521 0.9042 0.8668
Sn: 0.0319 0.0638 0.7500
Sn: 0.9681 0.9362 0.2500
Tl: 0.8317 0.6635 0.2500
Tl: 0.8490 0.6980 0.9340
Tl: 0.1510 0.3020 0.4340
Tl: 0.1683 0.3365 0.7500
Tl: 0.1510 0.3020 0.0660
Tl: 0.8490 0.6980 0.5660

=====

Record 9
A geometry-optimized LiTl3Sn structure. Source: Alexandria, functional GGA-PBE.

Output
Polymorph energy (0 for the lowest one)   0.0 meV per atom
Energy relative to the elements   -49 meV/atom
E   -2.652 eV per atom
Magnetic moment   0.00 μB per cell
Calculated density   8.59 g/cm3

Lattice parameters (Å, degrees): 8.6482 8.6482 7.0329 94.10 137.83 109.83
Fractional coordinates of all 10 atoms:
Li: 0.7759 0.8622 0.6380
Li: 0.2241 0.1378 0.3620
Tl: 0.6916 0.4300 0.5683
Tl: 0.1384 0.8767 0.5683
Tl: 0.8616 0.1233 0.4317
Tl: 0.3316 0.5930 0.9246
Tl: 0.3084 0.5700 0.4317
Tl: 0.6684 0.4070 0.0754
Sn: 0.2677 0.8739 0.1416
Sn: 0.7323 0.1261 0.8584

=====

Record 10
A geometry-optimized Li3TlSn structure. Source: Alexandria, functional GGA-PBE.

Output
Polymorph energy (0 for the lowest one)   0.8 meV per atom
Energy relative to the elements   -276 meV/atom
E   -2.698 eV per atom
Magnetic moment   0.00 μB per cell
Calculated density   5.68 g/cm3

Lattice parameters (Å, degrees): 5.9492 4.9170 7.3560 109.52 83.13 90.00
Fractional coordinates of all 10 atoms:
Sn: 0.8557 0.6016 0.2031
Sn: 0.1443 0.3984 0.7969
Li: 0.6478 0.4102 0.8203
Li: 0.3522 0.5898 0.1797
Li: 0.0700 0.7913 0.5826
Li: 0.2348 0.9996 0.9993
Li: 0.9300 0.2087 0.4174
Li: 0.7652 0.0004 0.0007
Tl: 0.5684 0.8172 0.6343
Tl: 0.4316 0.1828 0.3657

=====

Record 11
A geometry-optimized Li7Tl2Sn3 structure. Source: Alexandria, functional GGA-PBE.

Output
Energy relative to the elements   -218 meV/atom
E   -2.730 eV per atom
Magnetic moment   0.00 μB per cell
Calculated density   5.31 g/cm3

Lattice parameters (Å, degrees): 4.5753 4.7384 11.9674 101.38 90.00 90.00
Fractional coordinates of all 12 atoms:
Tl: 0.5000 0.6504 0.3029
Tl: 0.5000 0.3496 0.6971
Li: 0.0000 0.0000 0.0000
Li: 0.5000 0.0692 0.1387
Li: 0.5000 0.7808 0.5611
Li: 0.0000 0.4324 0.8628
Li: 0.5000 0.9308 0.8613
Li: 0.0000 0.5676 0.1372
Li: 0.5000 0.2192 0.4389
Sn: 0.5000 0.5000 0.0000
Sn: 0.0000 0.1450 0.2918
Sn: 0.0000 0.8550 0.7082